{"formula": "Cs2SrCoF6", "functional": "PBE with a Hubbard U", "state": "relaxed", "lattice_angstrom": [[-3.178, 3.178, 4.599], [3.178, -3.178, 4.599], [3.178, 3.178, -4.599]], "species": ["Cs", "Cs", "Sr", "Co", "F", "F", "F", "F", "F", "F"], "frac_coords": [[0.250, 0.750, 0.500], [0.750, 0.250, 0.500], [0.000, 0.000, 0.000], [0.500, 0.500, 0.000], [0.263, 0.263, 0.000], [0.271, 0.271, 0.542], [0.271, 0.729, 0.000], [0.729, 0.271, 0.000], [0.729, 0.729, 0.458], [0.737, 0.737, 0.000]]}

***

{"formula": "CsSrCo2F8", "functional": "PBE with a Hubbard U", "state": "relaxed", "lattice_angstrom": [[5.923, 0.000, 0.000], [-2.961, 5.129, 0.000], [0.000, 0.000, 8.746]], "species": ["Cs", "Sr", "Co", "Co", "F", "F", "F", "F", "F", "F", "F", "F"], "frac_coords": [[0.000, 0.000, 0.000], [0.000, 0.000, 0.500], [0.333, 0.667, 0.760], [0.667, 0.333, 0.240], [0.086, 0.340, 0.683], [0.254, 0.914, 0.683], [0.333, 0.667, 0.970], [0.340, 0.254, 0.317], [0.660, 0.746, 0.683], [0.667, 0.333, 0.030], [0.746, 0.086, 0.317], [0.914, 0.660, 0.317]]}

***

{"formula": "CsTbCo2F8", "functional": "PBE with a Hubbard U", "state": "relaxed", "lattice_angstrom": [[4.922, 0.000, 0.000], [-0.189, 5.086, 0.000], [-0.557, -0.682, 8.945]], "species": ["Cs", "Tb", "Co", "Co", "F", "F", "F", "F", "F", "F", "F", "F"], "frac_coords": [[0.000, 0.000, 0.000], [0.000, 0.000, 0.500], [0.497, 0.538, 0.685], [0.503, 0.462, 0.315], [0.159, 0.241, 0.332], [0.219, 0.243, 0.685], [0.339, 0.713, 0.490], [0.440, 0.709, 0.869], [0.560, 0.291, 0.131], [0.661, 0.287, 0.510], [0.781, 0.757, 0.315], [0.841, 0.759, 0.668]]}

***

{"formula": "CsTbCoF6", "functional": "PBE with a Hubbard U", "state": "relaxed", "lattice_angstrom": [[-3.769, 3.914, 5.220], [3.769, -3.914, 5.220], [3.769, 3.914, -5.220]], "species": ["Cs", "Cs", "Tb", "Tb", "Co", "Co", "F", "F", "F", "F", "F", "F", "F", "F", "F", "F", "F", "F"], "frac_coords": [[0.347, 0.097, 0.250], [0.653, 0.903, 0.750], [0.000, 0.500, 0.500], [0.500, 0.500, 0.000], [0.000, 0.000, 0.500], [0.000, 0.500, 0.000], [0.059, 0.364, 0.191], [0.059, 0.868, 0.695], [0.082, 0.332, 0.750], [0.327, 0.132, 0.691], [0.327, 0.636, 0.195], [0.353, 0.603, 0.750], [0.647, 0.397, 0.250], [0.673, 0.364, 0.805], [0.673, 0.868, 0.309], [0.918, 0.668, 0.250], [0.941, 0.132, 0.305], [0.941, 0.636, 0.809]]}

***

{"formula": "Cs2TbCo3F12", "functional": "PBE with a Hubbard U", "state": "relaxed", "lattice_angstrom": [[3.765, 2.174, 6.351], [-3.765, 2.174, 6.351], [0.000, -4.347, 6.351]], "species": ["Cs", "Cs", "Tb", "Co", "Co", "Co", "F", "F", "F", "F", "F", "F", "F", "F", "F", "F", "F", "F"], "frac_coords": [[0.111, 0.111, 0.111], [0.889, 0.889, 0.889], [0.500, 0.500, 0.500], [0.000, 0.500, 0.500], [0.500, 0.000, 0.500], [0.500, 0.500, 0.000], [0.152, 0.583, 0.583], [0.192, 0.192, 0.583], [0.192, 0.583, 0.192], [0.417, 0.417, 0.848], [0.417, 0.808, 0.808], [0.417, 0.848, 0.417], [0.583, 0.152, 0.583], [0.583, 0.192, 0.192], [0.583, 0.583, 0.152], [0.808, 0.417, 0.808], [0.808, 0.808, 0.417], [0.848, 0.417, 0.417]]}

***

{"formula": "CsCoTeF6", "functional": "PBE with a Hubbard U", "state": "relaxed", "lattice_angstrom": [[5.671, 0.000, 0.000], [2.576, 5.234, 0.000], [0.101, 0.178, 6.064]], "species": ["Cs", "Co", "Te", "F", "F", "F", "F", "F", "F"], "frac_coords": [[0.000, 0.000, 0.000], [0.706, 0.690, 0.569], [0.359, 0.275, 0.511], [0.059, 0.534, 0.738], [0.375, 0.922, 0.376], [0.528, 0.928, 0.810], [0.567, 0.434, 0.691], [0.760, 0.014, 0.458], [0.956, 0.444, 0.347]]}

***

{"formula": "CsTiCo2F8", "functional": "PBE with a Hubbard U", "state": "relaxed", "lattice_angstrom": [[2.705, 1.562, 8.385], [-2.705, 1.562, 8.385], [0.000, -3.124, 8.385]], "species": ["Cs", "Ti", "Co", "Co", "F", "F", "F", "F", "F", "F", "F", "F"], "frac_coords": [[0.000, 0.000, 0.000], [0.500, 0.500, 0.500], [0.237, 0.237, 0.237], [0.763, 0.763, 0.763], [0.151, 0.748, 0.465], [0.252, 0.535, 0.849], [0.311, 0.311, 0.311], [0.465, 0.151, 0.748], [0.535, 0.849, 0.252], [0.689, 0.689, 0.689], [0.748, 0.465, 0.151], [0.849, 0.252, 0.535]]}

***

{"formula": "Cs3TlCo2F8", "functional": "PBE with a Hubbard U", "state": "relaxed", "lattice_angstrom": [[6.624, 0.000, 0.000], [-3.312, 5.737, 0.000], [0.000, 0.000, 8.584]], "species": ["Cs", "Cs", "Cs", "Tl", "Co", "Co", "F", "F", "F", "F", "F", "F", "F", "F"], "frac_coords": [[0.000, 0.000, 0.000], [0.333, 0.667, 0.658], [0.667, 0.333, 0.342], [0.000, 0.000, 0.500], [0.333, 0.667, 0.201], [0.667, 0.333, 0.799], [0.179, 0.357, 0.294], [0.179, 0.821, 0.294], [0.333, 0.667, 0.980], [0.357, 0.179, 0.706], [0.643, 0.821, 0.294], [0.667, 0.333, 0.020], [0.821, 0.179, 0.706], [0.821, 0.643, 0.706]]}

***

Listing total energy for the structures above in their given order: -4.885 -4.871 -5.380 -5.570 -5.164 -4.358 -5.403 -4.479 eV/atom.